[1]
Density functional theory data (PBE) for crystalline DyAgSnSe2S at its relaxed geometry.

## Properties
Its space group is No. 63. The size of the total moment comes out at 0.001 μB per atom. The calculation puts the mass density at 6.67 g cm⁻³. For the total energy, the calculation gives -4.672 eV/atom.

a b c (Å): 7.077 7.077 10.321
angles (deg): 90.00 90.00 146.10
Fractional coordinates of all 12 atoms:
Dy 0.000 0.000 0.000
Dy 0.000 0.000 0.500
Ag 0.472 0.528 0.750
Ag 0.528 0.472 0.250
Sn 0.260 0.740 0.250
Sn 0.740 0.260 0.750
Se 0.353 0.647 0.552
Se 0.353 0.647 0.948
Se 0.647 0.353 0.052
Se 0.647 0.353 0.448
S 0.087 0.913 0.750
S 0.913 0.087 0.250


[2]
Density functional theory data (PBE) for crystalline SmDyAgS3 at its relaxed geometry.

## Properties
Its space group is No. 12. The size of the total moment comes out at 0.001 μB per atom. The calculation puts the mass density at 6.61 g cm⁻³. For the total energy, the calculation gives -5.605 eV/atom.

a b c (Å): 8.769 8.769 8.183
angles (deg): 102.36 102.36 25.04
Fractional coordinates of all 12 atoms:
Sm 0.135 0.135 0.073
Sm 0.865 0.865 0.927
Dy 0.164 0.164 0.591
Dy 0.836 0.836 0.409
Ag 0.471 0.471 0.283
Ag 0.529 0.529 0.717
S 0.000 0.000 0.500
S 0.313 0.313 0.154
S 0.329 0.329 0.654
S 0.500 0.500 0.000
S 0.671 0.671 0.346
S 0.687 0.687 0.846


[3]
Density functional theory data (PBE) for crystalline DyAgSnTe2S at its relaxed geometry.

## Properties
Its space group is No. 63. The size of the total moment comes out at 0.001 μB per atom. The calculation puts the mass density at 6.95 g cm⁻³. For the total energy, the calculation gives -4.391 eV/atom.

a b c (Å): 7.538 7.538 10.354
angles (deg): 90.00 90.00 146.65
Fractional coordinates of all 12 atoms:
Dy 0.000 0.000 0.000
Dy 0.000 0.000 0.500
Ag 0.482 0.518 0.750
Ag 0.518 0.482 0.250
Sn 0.273 0.727 0.250
Sn 0.727 0.273 0.750
Te 0.349 0.651 0.555
Te 0.349 0.651 0.945
Te 0.651 0.349 0.055
Te 0.651 0.349 0.445
S 0.081 0.919 0.750
S 0.919 0.081 0.250


Repeat the first record exactly.
Density functional theory data (PBE) for crystalline DyAgSnSe2S at its relaxed geometry.

## Properties
Its space group is No. 63. The size of the total moment comes out at 0.001 μB per atom. The calculation puts the mass density at 6.67 g cm⁻³. For the total energy, the calculation gives -4.672 eV/atom.

a b c (Å): 7.077 7.077 10.321
angles (deg): 90.00 90.00 146.10
Fractional coordinates of all 12 atoms:
Dy 0.000 0.000 0.000
Dy 0.000 0.000 0.500
Ag 0.472 0.528 0.750
Ag 0.528 0.472 0.250
Sn 0.260 0.740 0.250
Sn 0.740 0.260 0.750
Se 0.353 0.647 0.552
Se 0.353 0.647 0.948
Se 0.647 0.353 0.052
Se 0.647 0.353 0.448
S 0.087 0.913 0.750
S 0.913 0.087 0.250


Q: Which of these has the lowest total energy?
A: SmDyAgS3


Copy entry 3 word for word.
Density functional theory data (PBE) for crystalline DyAgSnTe2S at its relaxed geometry.

## Properties
Its space group is No. 63. The size of the total moment comes out at 0.001 μB per atom. The calculation puts the mass density at 6.95 g cm⁻³. For the total energy, the calculation gives -4.391 eV/atom.

a b c (Å): 7.538 7.538 10.354
angles (deg): 90.00 90.00 146.65
Fractional coordinates of all 12 atoms:
Dy 0.000 0.000 0.000
Dy 0.000 0.000 0.500
Ag 0.482 0.518 0.750
Ag 0.518 0.482 0.250
Sn 0.273 0.727 0.250
Sn 0.727 0.273 0.750
Te 0.349 0.651 0.555
Te 0.349 0.651 0.945
Te 0.651 0.349 0.055
Te 0.651 0.349 0.445
S 0.081 0.919 0.750
S 0.919 0.081 0.250


Q: mass density of number 2 (SmDyAgS3)?
A: 6.61 g cm⁻³